# 1
The following is a PBE calculation of a relaxed structure of TbTm4Zn4, from Alexandria.

Lattice parameters (Å, degrees): 9.0072 9.0072 5.7910 90.00 90.00 90.00
With the nearest neighbours (Å) after each atom.
Positions (direct):
Tb (0.2500, 0.2500, 0.2500)  4 Zn 2.84
Tb (0.7500, 0.7500, 0.7500)  4 Zn 2.84
Tm (0.0738, 0.6596, 0.1379)  5 Zn 2.88-3.07
Tm (0.1596, 0.9262, 0.6379)  5 Zn 2.88-3.07
Tm (0.3404, 0.5738, 0.6379)  5 Zn 2.88-3.07
Tm (0.4262, 0.8404, 0.1379)  5 Zn 2.88-3.07
Tm (0.5738, 0.1596, 0.8621)  5 Zn 2.88-3.07
Tm (0.6596, 0.4262, 0.3621)  5 Zn 2.88-3.07
Tm (0.8404, 0.0738, 0.3621)  5 Zn 2.88-3.07
Tm (0.9262, 0.3404, 0.8621)  5 Zn 2.88-3.07
Zn (0.0237, 0.6131, 0.6296)  1 Zn 2.57, 1 Tb 2.84
Zn (0.1131, 0.9763, 0.1296)  1 Zn 2.57, 1 Tb 2.84
Zn (0.3869, 0.5237, 0.1296)  1 Zn 2.57, 1 Tb 2.84
Zn (0.4763, 0.8869, 0.6296)  1 Zn 2.57, 1 Tb 2.84
Zn (0.5237, 0.1131, 0.3704)  1 Zn 2.57, 1 Tb 2.84
Zn (0.6131, 0.4763, 0.8704)  1 Zn 2.57, 1 Tb 2.84
Zn (0.8869, 0.0237, 0.8704)  1 Zn 2.57, 1 Tb 2.84
Zn (0.9763, 0.3869, 0.3704)  1 Zn 2.57, 1 Tb 2.84

Output
The symmetry is P4_2/n, No. 86. The formation energy is -0.54 eV/f.u. As for the density of states at the Fermi level: 25.33 states/eV per cell.

***

# 2
The following is a PBE calculation of a relaxed structure of Dy3AlAg4S8, from Alexandria.

Lattice parameters (Å, degrees): 7.9652 7.9652 8.8082 117.55 117.55 59.91
With the nearest neighbours (Å) after each atom.
Positions (direct):
Dy (0.0000, 0.0000, 0.0000)  6 S 2.69-2.76
Dy (0.0000, 0.5000, 0.0000)  6 S 2.69-2.76
Dy (0.5000, 0.0000, 0.0000)  6 S 2.69-2.76
Al (0.5000, 0.5000, 0.0000)  6 S 2.50
Ag (0.0000, 0.0000, 0.5000)  2 S 2.33
Ag (0.0000, 0.5000, 0.5000)  2 S 2.38
Ag (0.5000, 0.0000, 0.5000)  2 S 2.38
Ag (0.5000, 0.5000, 0.5000)  2 S 2.38
S (0.1025, 0.1025, 0.8125)  1 Ag 2.33
S (0.1338, 0.5900, 0.8184)  1 Ag 2.38, 1 Al 2.50
S (0.4096, 0.4096, 0.1821)  1 Ag 2.38, 1 Al 2.50
S (0.4100, 0.8662, 0.1816)  1 Ag 2.38, 1 Al 2.50
S (0.5900, 0.1338, 0.8184)  1 Ag 2.38, 1 Al 2.50
S (0.5904, 0.5904, 0.8179)  1 Ag 2.38, 1 Al 2.50
S (0.8662, 0.4100, 0.1816)  1 Ag 2.38, 1 Al 2.50
S (0.8975, 0.8975, 0.1875)  1 Ag 2.33

Output
The symmetry is C2/m, No. 12. The value obtained for the formation energy without anion corrections is -1.113 eV/atom.

***

# 3
The following is a PBE calculation of a relaxed structure of HfGe3Ru, from Alexandria.

Lattice parameters (Å, degrees): 4.7340 4.7340 4.7340 90.00 90.00 90.00
With the nearest neighbours (Å) after each atom.
Positions (direct):
Hf (0.0000, 0.0000, 0.0000)  12 Ge 3.35
Ge (0.0000, 0.5000, 0.5000)  2 Ru 2.37
Ge (0.5000, 0.0000, 0.5000)  2 Ru 2.37
Ge (0.5000, 0.5000, 0.0000)  2 Ru 2.37
Ru (0.5000, 0.5000, 0.5000)  6 Ge 2.37

Output
The symmetry is Pm-3m, No. 221. The formation energy is 2.63 eV/f.u. As for the density of states at the Fermi level: 5.61 states/eV per cell.

***

# 4
The following is a PBE calculation of a relaxed structure of KLaAs, from Alexandria.

Lattice parameters (Å, degrees): 7.9787 7.9787 7.9787 150.51 150.51 42.19
With the nearest neighbours (Å) after each atom.
Positions (direct):
K (0.0000, 0.0000, 0.0000)  1 La 3.61, 4 As 3.98
La (0.7572, 0.7572, 0.0000)  4 As 3.00
As (0.3152, 0.3152, 0.0000)  4 La 3.00

Output
The symmetry is I4mm, No. 107. The formation energy is -2.01 eV/f.u. As for the density of states at the Fermi level: 1.34 states/eV per cell.

***

# 5
The following is a PBE calculation of a relaxed structure of LaDy4Tl, from Alexandria.

Lattice parameters (Å, degrees): 3.6326 3.6326 14.2436 90.00 90.00 90.00
With the nearest neighbours (Å) after each atom.
Positions (direct):
La (0.0000, 0.0000, 0.0000)  4 La 3.63, 8 Dy 3.64
Dy (0.0000, 0.0000, 0.3532)  4 Tl 3.31, 8 Dy 3.55-3.63
Dy (0.0000, 0.0000, 0.6468)  4 Tl 3.31, 8 Dy 3.55-3.63
Dy (0.5000, 0.5000, 0.1811)  8 Dy 3.55-3.63, 4 La 3.64
Dy (0.5000, 0.5000, 0.8189)  8 Dy 3.55-3.63, 4 La 3.64
Tl (0.5000, 0.5000, 0.5000)  8 Dy 3.31, 4 Tl 3.63

Output
The symmetry is P4/mmm, No. 123. Its energy above the most stable polymorph in this dataset is 0 meV/atom. The formation energy is -0.59 eV/f.u. As for the density of states at the Fermi level: 7.27 states/eV per cell.

***

# 6
The following is a PBE calculation of a relaxed structure of PuSnPt, from Alexandria.

Lattice parameters (Å, degrees): 6.2101 6.2101 6.2101 148.17 148.17 45.64
With the nearest neighbours (Å) after each atom.
Positions (direct):
Pu (0.0000, 0.0000, 0.0000)  4 Pt 3.05, 5 Sn 3.34-3.40, 4 Pu 3.41
Sn (0.7026, 0.7026, 0.0000)  4 Pt 2.86
Pt (0.3371, 0.3371, 0.0000)  4 Sn 2.86, 4 Pu 3.05

Output
The symmetry is I4mm, No. 107. The formation energy is -1.52 eV/f.u. As for the density of states at the Fermi level: 9.38 states/eV per cell.

***

# 7
The following is a PBE calculation of a relaxed structure of Tm2CoNi, from Alexandria.

Lattice parameters (Å, degrees): 3.2926 3.2926 6.6577 90.00 90.00 90.00
With the nearest neighbours (Å) after each atom.
Positions (direct):
Tm (0.0000, 0.0000, 0.2458)  4 Co 2.85, 4 Ni 2.88
Tm (0.0000, 0.0000, 0.7542)  4 Co 2.85, 4 Ni 2.88
Co (0.5000, 0.5000, 0.0000)  8 Tm 2.85
Ni (0.5000, 0.5000, 0.5000)  8 Tm 2.88

Output
The symmetry is P4/mmm, No. 123. Its energy above the most stable polymorph in this dataset is 22 meV/atom. The formation energy is -1.40 eV/f.u. As for the density of states at the Fermi level: 1.40 states/eV per cell.

***

# 8
The following is a PBE calculation of a relaxed structure of Cs2LiC2, from Alexandria.

Lattice parameters (Å, degrees): 10.3211 10.3211 4.3619 90.00 90.00 90.00
With the nearest neighbours (Å) after each atom.
Positions (direct):
Cs (0.1526, 0.3474, 0.0000)  4 C 3.18
Cs (0.3474, 0.8474, 0.0000)  4 C 3.18
Cs (0.6526, 0.1526, 0.0000)  4 C 3.18
Cs (0.8474, 0.6526, 0.0000)  4 C 3.18
Li (0.0000, 0.0000, 0.0000)  4 Cs 3.92, 2 Li 4.36
Li (0.5000, 0.5000, 0.0000)  4 Cs 3.92, 2 Li 4.36
C (0.0435, 0.5435, 0.5000)  1 C 1.27
C (0.4565, 0.0435, 0.5000)  1 C 1.27
C (0.5435, 0.9565, 0.5000)  1 C 1.27
C (0.9565, 0.4565, 0.5000)  1 C 1.27

Output
The symmetry is P4/mbm, No. 127. The formation energy is 3.44 eV/f.u. As for the density of states at the Fermi level: 4.33 states/eV per cell.

***

# 9
The following is a PBE calculation of a relaxed structure of Sr3IrO8, from Alexandria.

Lattice parameters (Å, degrees): 6.8556 6.8556 6.8556 131.58 131.58 70.89
With the nearest neighbours (Å) after each atom.
Positions (direct):
Sr (0.0000, 0.0000, 0.0000)  8 O 2.60
Sr (0.2500, 0.7500, 0.5000)  8 O 2.57
Sr (0.7500, 0.2500, 0.5000)  8 O 2.57
Ir (0.5000, 0.5000, 0.0000)  8 O 2.05
O (0.1833, 0.1833, 0.5813)  1 Ir 2.05
O (0.1833, 0.6020, 0.0000)  1 Ir 2.05
O (0.3980, 0.3980, 0.5813)  1 Ir 2.05
O (0.3980, 0.8167, 0.0000)  1 Ir 2.05
O (0.6020, 0.1833, 0.0000)  1 Ir 2.05
O (0.6020, 0.6020, 0.4187)  1 Ir 2.05
O (0.8167, 0.3980, 0.0000)  1 Ir 2.05
O (0.8167, 0.8167, 0.4187)  1 Ir 2.05

Output
The symmetry is I4/mmm, No. 139. The value obtained for the formation energy without anion corrections is -1.303 eV/atom. As for the density of states at the Fermi level: 7.91 states/eV per cell.

***

# 10
The following is a PBE calculation of a relaxed structure of LiPu2Sc3Te6, from Alexandria.

Lattice parameters (Å, degrees): 9.5755 9.5755 8.6047 103.89 103.89 25.61
With the nearest neighbours (Å) after each atom.
Positions (direct):
Li (0.0000, 0.0000, 0.0000)  6 Te 3.00-3.05
Pu (0.3353, 0.3353, 0.6711)  6 Te 3.10-3.12
Pu (0.6647, 0.6647, 0.3289)  6 Te 3.10-3.12
Sc (0.0000, 0.0000, 0.5000)  6 Te 2.95-3.00
Sc (0.3302, 0.3302, 0.1702)  6 Te 2.94-2.98
Sc (0.6698, 0.6698, 0.8298)  6 Te 2.94-2.98
Te (0.1632, 0.1632, 0.5900)  3 Sc 2.94-2.95, 3 Pu 3.10-3.12
Te (0.1656, 0.1656, 0.0653)  3 Sc 2.95-2.98, 1 Li 3.00, 2 Pu 3.11
Te (0.4933, 0.4933, 0.2507)  3 Sc 2.95-3.00, 2 Li 3.05, 1 Pu 3.11
Te (0.5067, 0.5067, 0.7493)  3 Sc 2.95-3.00, 2 Li 3.05, 1 Pu 3.11
Te (0.8344, 0.8344, 0.9347)  3 Sc 2.95-2.98, 1 Li 3.00, 2 Pu 3.11
Te (0.8368, 0.8368, 0.4100)  3 Sc 2.94-2.95, 3 Pu 3.10-3.12

Output
The symmetry is C2/m, No. 12. The value obtained for the formation energy without anion corrections is -1.129 eV/atom. As for the density of states at the Fermi level: 26.19 states/eV per cell.

***

| no. | energy (eV for the cell shown) |
| --- | --- |
| 1 | -56.30 |
| 2 | -79.78 |
| 3 | -30.46 |
| 4 | -12.68 |
| 5 | -26.30 |
| 6 | -25.90 |
| 7 | -23.23 |
| 8 | -37.25 |
| 9 | -69.21 |
| 10 | -81.98 |